Record 1
DFT (PBE) results for a geometry-optimized MgCd2Sn2 structure.

Lattice parameters (Å, degrees): 7.682 7.682 4.467 90.00 90.00 90.00
Positions (direct):
1 Cd 0.831 0.331 0.500
2 Cd 0.669 0.831 0.500
3 Cd 0.169 0.669 0.500
4 Mg 0.500 0.500 0.000
5 Mg 0.000 0.000 0.000
6 Sn 0.638 0.138 0.000
7 Sn 0.862 0.638 0.000
8 Sn 0.138 0.362 0.000
9 Cd 0.331 0.169 0.500
10 Sn 0.362 0.862 0.000

E	-2.22	eV per atom
energy above the lowest structure with this stoichiometry	4.9	kJ/mol of atoms
symmetry	P4/mbm, No. 127
energy of formation	0.0621	eV per atom

Record 2
DFT (PBE) results for a geometry-optimized BaBeRu2 structure.

Lattice parameters (Å, degrees): 5.396 5.396 3.052 74.03 74.03 112.98
Positions (direct):
1 Ru 0.000 0.000 0.000
2 Ba 0.500 0.000 0.500
3 Ru 0.500 0.500 0.000
4 Be 0.000 0.500 0.500

E	-5.00	eV per atom
symmetry	C2/m, No. 12
energy of formation	1.0532	eV per atom

Record 3
DFT (PBE) results for a geometry-optimized Tb3Er4Th structure.

Lattice parameters (Å, degrees): 6.224 7.198 11.326 90.00 90.00 90.00
Positions (direct):
1 Er 0.648 0.127 0.000
2 Er 0.487 0.874 0.749
3 Er 0.987 0.126 0.751
4 Tb 0.145 0.377 0.500
5 Er 0.148 0.873 0.500
6 Tb 0.477 0.377 0.749
7 Tb 0.977 0.623 0.751
8 Er 0.647 0.124 0.500
9 Th 0.649 0.625 0.500
10 Tb 0.645 0.623 0.000
11 Tb 0.977 0.623 0.249
12 Er 0.147 0.876 0.000
13 Th 0.149 0.375 0.000
14 Tb 0.477 0.377 0.251
15 Er 0.487 0.874 0.251
16 Er 0.987 0.126 0.249

E	-4.92	eV per atom
energy above the lowest structure with this stoichiometry	0.0	kJ/mol of atoms
symmetry	Pmn2_1, No. 31
energy of formation	0.0241	eV per atom

Record 4
DFT (PBE) results for a geometry-optimized CaCd3In3 structure.

Lattice parameters (Å, degrees): 7.957 7.957 7.957 90.00 90.00 90.00
Positions (direct):
1 In 0.000 0.500 0.250
2 Cd 0.500 0.000 0.250
3 Cd 0.250 0.500 0.000
4 Cd 0.750 0.500 0.000
5 Cd 0.500 0.000 0.750
6 Cd 0.000 0.250 0.500
7 Ca 0.000 0.000 0.000
8 In 0.000 0.500 0.750
9 In 0.500 0.250 0.000
10 In 0.250 0.000 0.500
11 Ca 0.500 0.500 0.500
12 In 0.500 0.750 0.000
13 In 0.750 0.000 0.500
14 Cd 0.000 0.750 0.500

E	-1.60	eV per atom
energy above the lowest structure with this stoichiometry	29.8	kJ/mol of atoms
symmetry	Pm-3n, No. 223
energy of formation	0.2474	eV per atom

Record 5
DFT (PBE) results for a geometry-optimized NaAcNd structure.

Lattice parameters (Å, degrees): 5.900 5.901 7.674 90.00 89.99 59.99
Positions (direct):
1 Ac 0.295 0.645 0.051
2 Ac 0.295 0.645 0.530
3 Nd 0.962 0.312 0.291
4 Nd 0.629 0.979 0.290
5 Na 0.962 0.312 0.792
6 Na 0.629 0.979 0.790

E	-3.28	eV per atom
energy above the lowest structure with this stoichiometry	5.2	kJ/mol of atoms
symmetry	P-3m1, No. 164
energy of formation	0.1155	eV per atom

Record 6
DFT (PBE) results for a geometry-optimized TlCdCo3 structure.

Lattice parameters (Å, degrees): 4.769 4.769 4.769 90.00 90.00 90.00
Each line ends with the local moment (μB).
Positions (direct):
1 Co 0.500 0.000 0.000  1.77
2 Tl 0.500 0.500 0.500  0.00
3 Co 0.000 0.500 0.000  1.93
4 Co 0.000 0.000 0.500  1.84
5 Cd 0.000 0.000 0.000  -0.08

E	-3.43	eV per atom
energy above the lowest structure with this stoichiometry	0.0	kJ/mol of atoms
symmetry	Pm-3m, No. 221
energy of formation	1.4912	eV per atom

Record 7
DFT (PBE) results for a geometry-optimized CrIr2Se structure.

Lattice parameters (Å, degrees): 4.712 4.712 4.712 130.23 130.23 73.03
Each line ends with the local moment (μB).
Positions (direct):
1 Cr 0.750 0.250 0.500  2.51
2 Se 0.250 0.750 0.500  -0.02
3 Ir 0.000 0.000 0.000  -0.14
4 Ir 0.500 0.500 0.000  -0.14

E	-7.41	eV per atom
symmetry	I4/mmm, No. 139
ΔE_f (raw)	1.2	eV per formula unit

Record 8
DFT (PBE) results for a geometry-optimized Nd9TlPb2 structure.

Lattice parameters (Å, degrees): 5.001 5.001 14.974 90.00 90.00 90.00
Positions (direct):
1 Tl 0.000 0.000 0.000
2 Nd 0.500 0.500 0.334
3 Nd 0.500 0.000 0.167
4 Nd 0.000 0.500 0.833
5 Pb 0.000 0.000 0.332
6 Pb 0.000 0.000 0.668
7 Nd 0.500 0.500 0.000
8 Nd 0.500 0.000 0.833
9 Nd 0.000 0.500 0.167
10 Nd 0.000 0.500 0.500
11 Nd 0.500 0.500 0.666
12 Nd 0.500 0.000 0.500

E	-4.69	eV per atom
symmetry	P4/mmm, No. 123
energy of formation	-0.2978	eV per atom